The following is a DFT calculation (PBE) of a relaxed RbZn2IrI crystal.

SG	P4/mmm, No. 123
D(E_F)	2.28	states/eV/f.u.
DFT total energy	-7.81	eV/f.u.

Cell: 5.856 5.856 6.953 Å, 90.00 90.00 90.00°
Element x y z (fractional)
Rb  0.000  0.000  0.500
Zn  0.500  0.000  0.000
Zn  0.000  0.500  0.000
Ir  0.500  0.500  0.500
I  0.000  0.000  0.000



The following is a DFT calculation (PBE) of a relaxed MnNiAg crystal.

SG	F-43m, No. 216
D(E_F)	1.29	states/eV/f.u.
DFT total energy	-16.41	eV/f.u.

Cell: 4.142 4.142 4.142 Å, 60.00 60.00 60.00°
Element x y z (fractional)
Ni  0.750  0.750  0.750
Ag  0.000  0.000  0.000
Mn  0.500  0.500  0.500



The following is a DFT calculation (PBE) of a relaxed CuSbPdRu crystal.

SG	F-43m, No. 216
D(E_F)	3.24	states/eV/f.u.
DFT total energy	-23.01	eV/f.u.

Cell: 4.439 4.439 4.439 Å, 60.00 60.00 60.00°
Element x y z (fractional)
Sb  0.500  0.500  0.500
Cu  0.000  0.000  0.000
Pd  0.250  0.250  0.250
Ru  0.750  0.750  0.750



The following is a DFT calculation (PBE) of a relaxed NpPa2As crystal.

SG	P4/mmm, No. 123
D(E_F)	10.50	states/eV/f.u.
DFT total energy	-37.31	eV/f.u.

Cell: 3.734 3.734 6.284 Å, 90.00 90.00 90.00°
Element x y z (fractional)
Pa  0.000  0.000  0.245
Pa  0.000  0.000  0.755
Np  0.500  0.500  0.000
As  0.500  0.500  0.500



The following is a DFT calculation (PBE) of a relaxed LiCe3Sm3S8 crystal.

SG	R-3m, No. 166
D(E_F)	18.60	states/eV/f.u.
DFT total energy	-96.25	eV/f.u.

Cell: 7.967 7.967 7.991 Å, 119.90 90.00 120.00°
Element x y z (fractional)
Sm  0.500  0.500  0.500
Sm  0.000  0.500  0.500
Sm  0.500  0.000  0.500
S  0.243  0.487  0.743
S  0.749  0.498  0.747
S  0.757  0.513  0.257
S  0.251  0.502  0.253
S  0.757  0.000  0.743
S  0.243  0.000  0.257
S  0.757  0.000  0.257
S  0.243  0.000  0.743
Ce  0.500  0.500  0.000
Ce  0.000  0.500  0.000
Ce  0.000  0.000  0.000
Li  0.000  0.000  0.500



The following is a DFT calculation (PBE) of a relaxed La3ZnRh3 crystal.

SG	Cmcm, No. 63
D(E_F)	6.43	states/eV/f.u.
DFT total energy	-43.06	eV/f.u.

Cell: 4.276 5.740 13.975 Å, 90.00 90.00 111.87°
Element x y z (fractional)
Rh  0.745  0.490  0.750
Rh  0.255  0.510  0.250
Rh  0.085  0.171  0.087
Rh  0.915  0.829  0.587
Rh  0.915  0.829  0.913
Rh  0.085  0.171  0.413
La  0.801  0.602  0.104
La  0.527  0.055  0.250
La  0.801  0.602  0.396
La  0.473  0.945  0.750
La  0.199  0.398  0.604
La  0.199  0.398  0.896
Zn  0.500  0.000  0.000
Zn  0.500  0.000  0.500



The following is a DFT calculation (PBE) of a relaxed TbPr2Tm crystal.

SG	P4/mmm, No. 123
D(E_F)	5.91	states/eV/f.u.
DFT total energy	-18.57	eV/f.u.

Cell: 3.638 3.638 10.125 Å, 90.00 90.00 90.00°
Element x y z (fractional)
Pr  0.000  0.000  0.247
Pr  0.000  0.000  0.753
Tm  0.500  0.500  0.000
Tb  0.500  0.500  0.500



The following is a DFT calculation (PBE) of a relaxed Be2ZnSe crystal.

SG	Cm, No. 8
D(E_F)	0.90	states/eV/f.u.
DFT total energy	-11.88	eV/f.u.

Cell: 4.008 4.008 5.506 Å, 105.43 105.43 52.26°
Element x y z (fractional)
Zn  0.628  0.628  0.881
Be  0.306  0.306  0.087
Be  0.001  0.001  0.129
Se  0.565  0.565  0.403



The following is a DFT calculation (PBE) of a relaxed BaAc2Pr crystal.

SG	R3m, No. 160
D(E_F)	6.29	states/eV/f.u.
DFT total energy	-14.65	eV/f.u.

Cell: 4.004 4.004 13.350 Å, 81.38 81.38 60.00°
Element x y z (fractional)
Ba  0.667  0.667  0.999
Ac  0.243  0.243  0.270
Ac  0.090  0.090  0.731
Pr  0.500  0.500  0.500



The following is a DFT calculation (PBE) of a relaxed LaSc2Cu crystal.

SG	C2/m, No. 12
D(E_F)	7.75	states/eV/f.u.
DFT total energy	-21.82	eV/f.u.

Cell: 6.252 6.252 5.288 Å, 64.92 64.92 31.63°
Element x y z (fractional)
Sc  0.042  0.042  0.958
Sc  0.458  0.458  0.542
La  0.250  0.250  0.250
Cu  0.750  0.750  0.750



The following is a DFT calculation (PBE) of a relaxed Ho8PdAu2 crystal.

SG	C2/m, No. 12
D(E_F)	10.38	states/eV/f.u.
DFT total energy	-53.61	eV/f.u.

Cell: 5.067 6.787 9.117 Å, 102.81 106.13 90.00°
Element x y z (fractional)
Ho  0.590  0.448  0.179
Ho  0.971  0.223  0.941
Ho  0.029  0.777  0.059
Ho  0.662  0.972  0.323
Ho  0.796  0.675  0.591
Ho  0.338  0.028  0.677
Ho  0.204  0.325  0.409
Ho  0.410  0.552  0.821
Au  0.810  0.265  0.620
Au  0.190  0.735  0.380
Pd  0.500  0.000  0.000



The following is a DFT calculation (PBE) of a relaxed Ti2BSbSe crystal.

SG	P4/mmm, No. 123
D(E_F)	6.35	states/eV/f.u.
DFT total energy	-24.05	eV/f.u.

Cell: 4.673 5.424 4.673 Å, 90.00 90.00 90.00°
Element x y z (fractional)
Sb  0.000  0.500  0.000
Ti  0.000  0.000  0.500
Ti  0.500  0.000  0.000
B  0.500  0.500  0.500
Se  0.000  0.000  0.000